Computed, not measured: a geometry-optimized CaP structure at the PBE-GGA level of DFT.

Cell lengths 6.0374, 6.0374, 6.0374 Å; angles 140.50, 140.50, 57.10 degrees
Positions (direct):
Ca (0.0000, 0.0000, 0.0000)
Ca (0.2500, 0.7500, 0.5000)
P (0.5000, 0.5000, 0.0000)
P (0.7500, 0.2500, 0.5000)

Output
Spin magnetization (μB per cell): 0.00
Fermi-level density of states (states/eV per cell): 1.90
Energy relative to the elements (eV/atom): -0.686
Crystal system: tetragonal
Symmetry: I4_1/amd